[1]
SCAN Li3VF7, single point on PBEsol structure; crystal system = trigonal; E_form (uncorrected) = -3.0755 eV per atom; E = -7.5699 eV per atom
1.0
3.0098 1.7377 4.4756
-3.0098 1.7377 4.4756
0.0000 -3.4754 4.4756
Li V F
3 1 7
Cartesian
0.0000 -1.6795 4.4756
-1.4545 0.8398 4.4756
1.4545 0.8398 4.4756
0.0000 0.0000 7.3901
0.0000 0.0000 4.0099
0.0000 -1.5009 6.3796
-1.2998 0.7505 6.3796
-1.3457 -0.7770 8.5002
1.2998 0.7504 6.3797
1.3457 -0.7770 8.5002
0.0000 1.5539 8.5002

[2]
SCAN LiVF5, single point on PBEsol structure; distance to the lowest polymorph of the same formula = 7 meV per atom; crystal system = orthorhombic; E_form (uncorrected) = -3.0875 eV per atom; E = -8.4558 eV per atom
1.0
4.9845 0.0000 0.0000
0.0000 6.3239 0.0000
0.0000 0.0000 11.2448
Li V F
4 4 20
Cartesian
0.4182 0.5610 2.3344
2.0740 5.7629 7.9568
2.9105 2.6010 8.9104
4.5663 3.7230 3.2880
0.7673 2.5451 6.5386
1.7249 3.7788 0.9163
3.2596 0.6169 4.7061
4.2172 5.7071 10.3285
0.1212 4.1824 11.1100
0.2722 3.5192 5.1220
0.6964 5.8785 9.3241
0.9018 4.8663 2.1431
0.9449 2.3685 1.7542
1.5473 3.9555 7.3765
1.5904 1.4576 7.7655
1.7959 0.4455 3.7018
2.2200 2.8048 10.7444
2.3710 2.1415 5.4876
2.6135 5.3035 0.1348
2.7645 5.9667 6.1228
3.1886 3.6074 1.9206
3.3941 4.6196 9.1017
3.4372 0.7935 9.4906
4.0396 5.5304 3.8682
4.0827 1.7044 3.4793
4.2881 2.7165 7.5430
4.7123 0.3572 0.5004
4.8633 1.0205 5.7571

[3]
SCAN LiVF3, single point on PBEsol structure; D(E_F) = 0.000 states/eV/f.u.; distance to the lowest polymorph of the same formula = 71 meV per atom; crystal system = monoclinic; E_form (uncorrected) = -2.9909 eV per atom; E = -9.0905 eV per atom
1.0
3.1778 0.0000 0.0000
0.0000 5.4169 0.0000
-1.5840 0.0000 6.3474
Li V F
2 2 6
Cartesian
-0.0174 1.3542 0.7766
1.6112 4.0627 5.5708
0.0006 1.3542 4.1915
1.5932 4.0627 2.1560
0.0038 2.7138 2.1017
0.0038 5.4116 2.1017
-0.0133 1.3542 6.1909
1.6070 4.0627 0.1565
1.5900 0.0053 4.2457
1.5900 2.7031 4.2457

[4]
SCAN Li2V2F7, single point on PBEsol structure; D(E_F) = 2.331 states/eV/f.u.; distance to the lowest polymorph of the same formula = 0 meV per atom; crystal system = monoclinic; E_form (uncorrected) = -3.1344 eV per atom; E = -9.0013 eV per atom
1.0
7.5194 0.0000 0.0000
0.0000 7.0576 0.0000
-0.0797 0.0000 10.0841
Li V F
8 8 28
Cartesian
1.1779 0.9702 1.4057
1.1380 2.5586 6.4478
2.5358 0.9726 3.6342
2.4960 2.5562 8.6762
4.9438 4.5013 1.4079
4.9040 6.0850 6.4500
6.3017 4.4990 3.6364
6.2619 6.0874 8.6784
0.8548 4.4659 0.8489
0.8149 6.1204 5.8910
2.8692 4.4661 4.1913
2.8294 6.1202 9.2334
4.6104 0.9373 0.8508
4.5705 2.5915 5.8928
6.6248 0.9371 4.1931
6.5850 2.5916 9.2352
0.3306 1.0194 5.7839
0.3704 2.5094 0.7419
0.7344 1.2154 3.1777
0.6946 2.3134 8.2198
1.2914 4.1955 5.4722
1.3312 6.3908 0.4301
1.8639 4.3512 2.5190
1.8241 6.2352 7.5611
2.3499 4.1953 9.6489
2.3898 6.3910 4.6069
2.9786 1.2143 1.8622
2.9388 2.3145 6.9043
3.3103 1.0202 9.3404
3.3501 2.5086 4.2983
4.0896 4.5490 5.7858
4.1295 6.0374 0.7438
4.5010 4.7431 3.1799
4.4611 5.8433 8.2219
5.0500 0.6665 5.4773
5.0898 2.8623 0.4352
5.6157 0.8224 2.5231
5.5758 2.7064 7.5651
6.1085 0.6667 9.6540
6.1484 2.8621 4.6119
6.7451 4.7442 1.8644
6.7053 5.8422 6.9064
7.0693 4.5482 9.3423
7.1092 6.0382 4.3002